ScSbO2, relaxed, DFT GGA-PBEsol; uncorrected energy = -26.153 eV for the cell shown; energy relative to the elements, uncorrected = -108.35 kJ per mole of atoms
1.0
0.0000 2.9482 2.9482
2.9482 0.0000 2.9482
2.9482 2.9482 0.0000
Sc Sb O
1 1 2
Direct
0.0000 0.0000 0.0000
0.5000 0.5000 0.5000
0.2500 0.2500 0.2500
0.7500 0.7500 0.7500